Density functional theory data (GGA-PBE) for an optimized crystal structure of CuTe4Mo.

Output
Excess energy over the best structure of this formula in the dataset: 0 meV/atom
Uncorrected formation energy: 11 kJ per mole of atoms
Magnetization: 0.0000 μB/atom
DFT total energy: -4.471 eV/atom

Cell and atoms, written as CIF:
```
data_CuTe4Mo
_cell_length_a 8.976
_cell_length_b 8.976
_cell_length_c 8.145
_cell_angle_alpha 90.00
_cell_angle_beta 90.00
_cell_angle_gamma 90.00
_symmetry_space_group_name_H-M 'I 41 m d'
_symmetry_Int_Tables_number 109
_symmetry_space_group_name_Hall 'I 4bw -2'
loop_
_atom_site_label
_atom_site_type_symbol
_atom_site_fract_x
_atom_site_fract_y
_atom_site_fract_z
Cu1 Cu 0.000 0.000 0.000
Te1 Te 0.000 0.197 0.740
Te2 Te 0.000 0.199 0.249
Mo1 Mo 0.000 0.000 0.499
```

Density functional theory data (GGA-PBE) for an optimized crystal structure of LiNdCu2Ge2.

Output
Energy of formation: -2.91 eV per formula unit
Magnetization: 0.0000 μB/atom
DFT total energy: -4.502 eV/atom

Cell and atoms, written as CIF:
```
data_LiNdCu2Ge2
_cell_length_a 4.1963
_cell_length_b 4.1963
_cell_length_c 6.8287
_cell_angle_alpha 90.00
_cell_angle_beta 90.00
_cell_angle_gamma 120.00
_symmetry_space_group_name_H-M 'P -3 m 1'
_symmetry_Int_Tables_number 164
_symmetry_space_group_name_Hall '-P 3 2"'
loop_
_atom_site_label
_atom_site_type_symbol
_atom_site_fract_x
_atom_site_fract_y
_atom_site_fract_z
Li1 Li 0.0000 0.0000 0.0000
Nd1 Nd 0.0000 0.0000 0.5000
Cu1 Cu 0.3333 0.6667 0.1631
Ge1 Ge 0.3333 0.6667 0.7835
```

Density functional theory data (GGA-PBE) for an optimized crystal structure of Na3CuPt3O8.

Output
Uncorrected formation energy: -83 kJ per mole of atoms
Magnetization: 0.0898 μB/atom
DFT total energy: -5.245 eV/atom

Cell and atoms, written as CIF:
```
data_Na3CuPt3O8
_cell_length_a 12.209
_cell_length_b 6.101
_cell_length_c 6.106
_cell_angle_alpha 90.00
_cell_angle_beta 118.41
_cell_angle_gamma 90.00
_symmetry_space_group_name_H-M 'C 1 2/m 1'
_symmetry_Int_Tables_number 12
_symmetry_space_group_name_Hall '-C 2y'
loop_
_atom_site_label
_atom_site_type_symbol
_atom_site_fract_x
_atom_site_fract_y
_atom_site_fract_z
Na1 Na 0.000 0.000 0.000
Na2 Na 0.250 0.250 0.500
Cu1 Cu 0.000 0.000 0.500
Pt1 Pt 0.000 0.500 0.500
Pt2 Pt 0.250 0.250 0.000
O1 O 0.067 0.244 0.738
O2 O 0.213 0.000 0.179
O3 O 0.225 0.500 0.190
```

Density functional theory data (GGA-PBE) for an optimized crystal structure of Ba3CrBi.

Output
Energy of formation: 1.89 eV per formula unit
Magnetization: 0.0000 μB/atom
DFT total energy: -3.476 eV/atom

Cell and atoms, written as CIF:
```
data_Ba3CrBi
_cell_length_a 5.735
_cell_length_b 5.735
_cell_length_c 5.735
_cell_angle_alpha 90.00
_cell_angle_beta 90.00
_cell_angle_gamma 90.00
_symmetry_space_group_name_H-M 'P m -3 m'
_symmetry_Int_Tables_number 221
_symmetry_space_group_name_Hall '-P 4 2 3'
loop_
_atom_site_label
_atom_site_type_symbol
_atom_site_fract_x
_atom_site_fract_y
_atom_site_fract_z
Ba1 Ba 0.000 0.000 0.500
Cr1 Cr 0.000 0.000 0.000
Bi1 Bi 0.500 0.500 0.500
```

Density functional theory data (GGA-PBE) for an optimized crystal structure of KLa2Al.

Output
Energy of formation: 0.28 eV per formula unit
Magnetization: 0.0001 μB/atom
DFT total energy: -3.605 eV/atom

Cell and atoms, written as CIF:
```
data_KLa2Al
_cell_length_a 3.8801
_cell_length_b 3.8801
_cell_length_c 36.6386
_cell_angle_alpha 90.00
_cell_angle_beta 90.00
_cell_angle_gamma 120.00
_symmetry_space_group_name_H-M 'R -3 m'
_symmetry_Int_Tables_number 166
_symmetry_space_group_name_Hall '-R 3 2"'
loop_
_atom_site_label
_atom_site_type_symbol
_atom_site_fract_x
_atom_site_fract_y
_atom_site_fract_z
K1 K 0.0000 0.0000 0.0000
La1 La 0.0000 0.0000 0.2259
Al1 Al 0.0000 0.0000 0.5000
```

Density functional theory data (GGA-PBE) for an optimized crystal structure of Rb3CuI.

Output
Excess energy over the best structure of this formula in the dataset: 0 meV/atom
Uncorrected formation energy: -21 kJ per mole of atoms
Magnetization: 0.0000 μB/atom
DFT total energy: -1.932 eV/atom

Cell and atoms, written as CIF:
```
data_Rb3CuI
_cell_length_a 6.568
_cell_length_b 6.568
_cell_length_c 6.568
_cell_angle_alpha 90.00
_cell_angle_beta 90.00
_cell_angle_gamma 90.00
_symmetry_space_group_name_H-M 'P m -3 m'
_symmetry_Int_Tables_number 221
_symmetry_space_group_name_Hall '-P 4 2 3'
loop_
_atom_site_label
_atom_site_type_symbol
_atom_site_fract_x
_atom_site_fract_y
_atom_site_fract_z
Rb1 Rb 0.000 0.000 0.500
Cu1 Cu 0.000 0.000 0.000
I1 I 0.500 0.500 0.500
```

Density functional theory data (GGA-PBE) for an optimized crystal structure of InW2Br.

Output
Excess energy over the best structure of this formula in the dataset: 703 meV/atom
Uncorrected formation energy: 100 kJ per mole of atoms
Magnetization: 0.0000 μB/atom
DFT total energy: -6.546 eV/atom

Cell and atoms, written as CIF:
```
data_InW2Br
_cell_length_a 9.863
_cell_length_b 2.949
_cell_length_c 5.228
_cell_angle_alpha 90.00
_cell_angle_beta 104.50
_cell_angle_gamma 90.00
_symmetry_space_group_name_H-M 'C 1 2/m 1'
_symmetry_Int_Tables_number 12
_symmetry_space_group_name_Hall '-C 2y'
loop_
_atom_site_label
_atom_site_type_symbol
_atom_site_fract_x
_atom_site_fract_y
_atom_site_fract_z
In1 In 0.000 0.000 0.000
W1 W 0.250 0.000 0.753
Br1 Br 0.000 0.500 0.500
```

Density functional theory data (GGA-PBE) for an optimized crystal structure of HgRhCl2.

Output
Excess energy over the best structure of this formula in the dataset: 249 meV/atom
Uncorrected formation energy: -5 kJ per mole of atoms
Magnetization: 0.2506 μB/atom
DFT total energy: -2.886 eV/atom

Cell and atoms, written as CIF:
```
data_HgRhCl2
_cell_length_a 3.422
_cell_length_b 6.785
_cell_length_c 8.846
_cell_angle_alpha 90.00
_cell_angle_beta 90.00
_cell_angle_gamma 90.00
_symmetry_space_group_name_H-M 'I m m 2'
_symmetry_Int_Tables_number 44
_symmetry_space_group_name_Hall 'I 2 -2'
loop_
_atom_site_label
_atom_site_type_symbol
_atom_site_fract_x
_atom_site_fract_y
_atom_site_fract_z
Hg1 Hg 0.000 0.000 0.000
Rh1 Rh 0.000 0.500 0.737
Cl1 Cl 0.000 0.000 0.413
Cl2 Cl 0.000 0.500 0.270
```

Density functional theory data (GGA-PBE) for an optimized crystal structure of Ir2WSe.

Output
Excess energy over the best structure of this formula in the dataset: 212 meV/atom
Uncorrected formation energy: 29 kJ per mole of atoms
Magnetization: 0.0000 μB/atom
DFT total energy: -8.244 eV/atom

Cell and atoms, written as CIF:
```
data_Ir2WSe
_cell_length_a 2.941
_cell_length_b 4.532
_cell_length_c 9.156
_cell_angle_alpha 90.00
_cell_angle_beta 90.00
_cell_angle_gamma 90.00
_symmetry_space_group_name_H-M 'I m m m'
_symmetry_Int_Tables_number 71
_symmetry_space_group_name_Hall '-I 2 2'
loop_
_atom_site_label
_atom_site_type_symbol
_atom_site_fract_x
_atom_site_fract_y
_atom_site_fract_z
Ir1 Ir 0.000 0.000 0.235
W1 W 0.000 0.500 0.000
Se1 Se 0.000 0.500 0.500
```

Density functional theory data (GGA-PBE) for an optimized crystal structure of Zr5U3Sb12.

Output
Uncorrected formation energy: 6 kJ per mole of atoms
Magnetization: 0.2488 μB/atom
DFT total energy: -6.246 eV/atom

Cell and atoms, written as CIF:
```
data_Zr5U3Sb12
_cell_length_a 17.348
_cell_length_b 17.348
_cell_length_c 17.348
_cell_angle_alpha 90.00
_cell_angle_beta 90.00
_cell_angle_gamma 90.00
_symmetry_space_group_name_H-M 'I a -3 d'
_symmetry_Int_Tables_number 230
_symmetry_space_group_name_Hall '-I 4bd 2c 3'
loop_
_atom_site_label
_atom_site_type_symbol
_atom_site_fract_x
_atom_site_fract_y
_atom_site_fract_z
Zr1 Zr 0.000 0.000 0.000
Zr2 Zr 0.000 0.250 0.375
U1 U 0.000 0.250 0.125
Sb1 Sb 0.022 0.074 0.652
```